Record 1
AlP2PbO: optimized geometry, GGA-PBE.

Results
- Uncorrected formation energy: 0.82 eV per atom
- Distance to the lowest polymorph of the same formula: 1142.3 meV per atom

Structure (POSCAR):
```
AlP2PbO
1.0
5.2522 0.0000 0.0000
0.0000 5.2522 0.0000
0.0000 0.0000 4.1320
Al P Pb O
1 2 1 1
Cartesian
0.0000 0.0000 0.0000 Al
0.0000 2.6261 2.0660 P
2.6261 0.0000 2.0660 P
2.6261 2.6261 2.0660 Pb
2.6261 2.6261 0.0000 O
```



Record 2
PrEuZnSn: optimized geometry, GGA-PBE.

Results
- Energy of formation: -0.500 eV per atom

Structure (POSCAR):
```
PrEuZnSn
1.0
0.0000 3.8361 3.8361
3.8361 0.0000 3.8361
3.8361 3.8361 0.0000
Pr Eu Zn Sn
1 1 1 1
Cartesian
0.0000 0.0000 0.0000 Pr
3.8361 3.8361 3.8361 Eu
5.7542 5.7542 5.7542 Zn
1.9181 1.9181 1.9181 Sn
```



Record 3
NaTiAlO4: optimized geometry, GGA-PBE.

Results
- Uncorrected formation energy: -2.62 eV per atom

Structure (POSCAR):
```
NaTiAlO4
1.0
5.2391 0.0000 0.0000
0.0000 5.4264 0.0000
-2.5482 0.0000 6.4625
Na Ti Al O
2 2 2 8
Cartesian
-0.1270 1.3566 0.9090 Na
2.8180 4.0698 5.5535 Na
-0.3406 4.0698 3.0536 Ti
3.0315 1.3566 3.4088 Ti
0.5084 1.3566 4.3562 Al
2.1826 4.0698 2.1063 Al
-0.7574 0.0826 4.3420 O
-0.7574 2.6306 4.3420 O
0.6188 4.0698 1.3091 O
1.2722 1.3566 2.7388 O
1.4187 4.0698 3.7237 O
2.0721 1.3566 5.1534 O
3.4483 2.7958 2.1205 O
3.4483 5.3439 2.1205 O
```



Record 4
TeOsCl2: optimized geometry, GGA-PBE.

Results
- Uncorrected formation energy: 0.12 eV per atom
- Distance to the lowest polymorph of the same formula: 169.1 meV per atom

Structure (POSCAR):
```
TeOsCl2
1.0
1.9013 1.0977 7.9412
-1.9013 1.0977 7.9412
0.0000 -2.1955 7.9412
Te Os Cl
1 1 2
Cartesian
0.0000 0.0000 0.0000 Te
0.0000 0.0000 6.6453 Os
0.0000 0.0000 13.1806 Cl
0.0000 0.0000 17.9590 Cl
```



Number 1: DOS at the Fermi energy 4.22 states/eV/f.u., VASP energy -19.11 eV per cell. Number 2: DOS at the Fermi energy 5.37 states/eV/f.u., VASP energy -22.33 eV per cell. Number 3: DOS at the Fermi energy 0.00 states/eV/f.u., VASP energy -102.23 eV per cell. Number 4: DOS at the Fermi energy 3.99 states/eV/f.u., VASP energy -17.57 eV per cell.